# 1
First-principles (PBE) data for a geometry-optimized RbTl3Pb structure, as listed in Alexandria via LeMat-Bulk.

abc: 6.2021 6.2021 6.2021
angles: 90.00 90.00 90.00
Fractional positions:
Rb (0.0000, 0.0000, 0.0000)
Tl (0.0000, 0.5000, 0.0000)
Tl (0.5000, 0.0000, 0.0000)
Tl (0.0000, 0.0000, 0.5000)
Pb (0.5000, 0.5000, 0.5000)

Summary:
Its density of states at the Fermi level is 0.889 states/eV per atom. Its density is 6.30 g/cm3. For the total energy, the calculation gives -0.1183 Ry/atom. The value obtained for the formation energy is 746 meV/atom. Its symmetry is Pm-3m.

# 2
First-principles (PBE) data for a geometry-optimized Rb2Tl5Pb4 structure, as listed in Alexandria via LeMat-Bulk.

abc: 7.5943 9.0924 7.4859
angles: 81.46 59.52 65.32
Fractional positions:
Tl (0.2095, 0.1752, 0.8300)
Tl (0.2146, 0.8248, 0.1700)
Tl (0.7854, 0.1752, 0.8300)
Tl (0.0000, 0.5000, 0.5000)
Tl (0.7905, 0.8248, 0.1700)
Rb (0.6916, 0.2367, 0.3801)
Rb (0.3084, 0.7633, 0.6199)
Pb (0.2743, 0.4529, 0.9986)
Pb (0.6882, 0.8696, 0.7539)
Pb (0.3118, 0.1304, 0.2461)
Pb (0.7257, 0.5471, 0.0014)

Summary:
Its density of states at the Fermi level is 0.420 states/eV per atom. Its density is 8.32 g/cm3. For the total energy, the calculation gives -0.1919 Ry/atom. The value obtained for the formation energy is -11 meV/atom. Its symmetry is C2/m.

# 3
First-principles (PBE) data for a geometry-optimized RbTl5Pb2 structure, as listed in Alexandria via LeMat-Bulk.

abc: 8.7303 8.7303 9.8418
angles: 116.33 116.33 90.00
Fractional positions:
Pb (0.6355, 0.1355, 0.0000)
Pb (0.3645, 0.8645, 0.0000)
Pb (0.8645, 0.6355, 0.0000)
Pb (0.1355, 0.3645, 0.0000)
Tl (0.2954, 0.7954, 0.2776)
Tl (0.2046, 0.0178, 0.7224)
Tl (0.0000, 0.0000, 0.0000)
Tl (0.7046, 0.2046, 0.7224)
Tl (0.0178, 0.5178, 0.7224)
Tl (0.7954, 0.9822, 0.2776)
Tl (0.9822, 0.4822, 0.2776)
Tl (0.5000, 0.5000, 0.0000)
Tl (0.4822, 0.2954, 0.2776)
Tl (0.5178, 0.7046, 0.7224)
Rb (0.2500, 0.2500, 0.5000)
Rb (0.7500, 0.7500, 0.5000)

Summary:
Its density of states at the Fermi level is 0.476 states/eV per atom. Its density is 8.65 g/cm3. For the total energy, the calculation gives -0.1844 Ry/atom. The value obtained for the formation energy is 18 meV/atom. Its symmetry is I4/mcm.